(1)
Entry from the Alexandria database: a geometry-optimized MgTi structure (PBE-GGA).

abc: 2.974 14.886 5.285
angles: 90.00 90.00 90.00
Space group Amm2 (No. 38)
Inequivalent atoms, fractional coordinates:
1 Mg 0.000 0.000 0.000 [2 per cell]
2 Mg 0.000 0.165 0.691 [4 per cell]
3 Ti 0.500 0.000 0.482 [2 per cell]
4 Ti 0.500 0.161 0.202 [4 per cell]

Values from the calculation:
For the energy relative to the elements, the calculation gives 5.61 kcal/mol of atoms. The total energy is -4.50 eV/atom.

=====

(2)
Entry from the Alexandria database: a geometry-optimized Sr2Be3InAu12 structure (PBE-GGA).

abc: 8.3309 8.3309 19.9524
angles: 90.00 90.00 120.00
Space group R-3m (No. 166, hexagonal axes)
Inequivalent atoms, fractional coordinates:
1 Sr 0.0000 0.0000 0.1050 [6 per cell]
2 Be 0.0000 0.5000 0.0000 [9 per cell]
3 In 0.0000 0.0000 0.5000 [3 per cell]
4 Au 0.0157 0.5078 0.8829 [18 per cell]
5 Au 0.0434 0.5217 0.3572 [18 per cell]

Values from the calculation:
For the energy relative to the elements, the calculation gives -3.90 kcal/mol of atoms. The total energy is -3.31 eV/atom.

=====

(3)
Entry from the Alexandria database: a geometry-optimized CaGa2AsO6 structure (PBE-GGA).

abc: 9.041 10.641 6.112
angles: 90.00 114.02 90.00
Space group C2/c (No. 15)
Inequivalent atoms, fractional coordinates:
1 Ca 0.000 0.100 0.250 [4 per cell]
2 Ga 0.134 0.420 0.168 [8 per cell]
3 As 0.000 0.209 0.750 [4 per cell]
4 O 0.115 0.246 0.082 [8 per cell]
5 O 0.122 0.443 0.467 [8 per cell]
6 O 0.123 0.091 0.690 [8 per cell]

Values from the calculation:
The total energy is -6.08 eV/atom. The calculation puts the uncorrected formation energy at -1838 meV/atom.

=====

(4)
Entry from the Alexandria database: a geometry-optimized CsSnSe2 structure (PBE-GGA).

abc: 10.469 10.842 7.247
angles: 90.00 125.66 90.00
Space group Cc (No. 9)
Inequivalent atoms, fractional coordinates:
1 Cs 0.000 0.123 0.000 [4 per cell]
2 Sn 0.038 0.373 0.494 [4 per cell]
3 Se 0.141 0.418 0.925 [4 per cell]
4 Se 0.230 0.182 0.621 [4 per cell]

Values from the calculation:
The total energy is -3.69 eV/atom. The calculation puts the uncorrected formation energy at -733 meV/atom.

=====

(5)
Entry from the Alexandria database: a geometry-optimized Re2Si2W structure (PBE-GGA).

abc: 6.915 6.915 2.958
angles: 90.00 90.00 90.00
Space group P4/mbm (No. 127)
Inequivalent atoms, fractional coordinates:
1 Re 0.153 0.347 0.000 [4 per cell]
2 Si 0.143 0.643 0.500 [4 per cell]
3 W 0.000 0.000 0.500 [2 per cell]

Values from the calculation:
The total energy is -9.71 eV/atom. The calculation puts the uncorrected formation energy at 25 meV/atom.

=====

(6)
Entry from the Alexandria database: a geometry-optimized MgAsRhBr2 structure (PBE-GGA).

abc: 5.238 5.238 4.715
angles: 90.00 90.00 90.00
Space group P4/mmm (No. 123)
Inequivalent atoms, fractional coordinates:
1 Mg 0.000 0.000 0.000 [1 per cell]
2 As 0.500 0.500 0.000 [1 per cell]
3 Rh 0.500 0.500 0.500 [1 per cell]
4 Br 0.000 0.500 0.500 [2 per cell]

Values from the calculation:
The calculation puts the energy above the most stable polymorph in this dataset at 0 meV per atom. The total energy is -3.38 eV/atom. The calculation puts the uncorrected formation energy at 5 meV/atom.

=====

(7)
Entry from the Alexandria database: a geometry-optimized LiCaInTc2 structure (PBE-GGA).

abc: 5.559 5.559 5.569
angles: 90.00 90.00 90.00
Space group P4/mmm (No. 123)
Inequivalent atoms, fractional coordinates:
1 Li 0.000 0.000 0.000 [1 per cell]
2 Ca 0.500 0.500 0.000 [1 per cell]
3 In 0.500 0.500 0.500 [1 per cell]
4 Tc 0.000 0.500 0.500 [2 per cell]

Values from the calculation:
For the energy relative to the elements, the calculation gives 36.49 kcal/mol of atoms. The total energy is -3.89 eV/atom.

=====

(8)
Entry from the Alexandria database: a geometry-optimized Ca2CrGaN4 structure (PBE-GGA).

abc: 6.723 6.209 5.488
angles: 90.00 90.00 90.00
Space group Pmn2_1 (No. 31)
Inequivalent atoms, fractional coordinates:
1 Ca 0.249 0.193 0.000 [4 per cell]
2 Cr 0.000 0.667 0.011 [2 per cell]
3 Ga 0.000 0.339 0.506 [2 per cell]
4 N 0.000 0.420 0.851 [2 per cell]
5 N 0.000 0.609 0.325 [2 per cell]
6 N 0.235 0.814 0.947 [4 per cell]

Values from the calculation:
The total energy is -6.91 eV/atom. The calculation puts the uncorrected formation energy at -669 meV/atom.